Material: LaNiW2
Method: DFT, GGA-PBE
State: optimized geometry Values from VASP.

Properties
E = -8.200 eV/atom
DFT formation energy = 0.953 eV/atom
Symmetry = Fm-3m (225)
M_tot = 0.00 μB/f.u.
Polymorph energy (0 for the lowest one) = 646 meV per atom
Density of states at the Fermi level = 10.59 states/eV per cell

Quantum ESPRESSO input file:
```
&SYSTEM
  ibrav = 0, nat = 4, ntyp = 3
/
ATOMIC_SPECIES
W 183.84 W.upf
Ni 58.69 Ni.upf
La 138.91 La.upf
ATOMIC_POSITIONS crystal
W 0.750 0.750 0.750
Ni 0.000 0.000 0.000
W 0.250 0.250 0.250
La 0.500 0.500 0.500
CELL_PARAMETERS angstrom
-0.787 -4.017 2.068
-3.765 -0.564 2.556
-3.388 -2.714 -1.477
```

Material: LaPm5Dy2Ho
Method: DFT, GGA-PBE
State: optimized geometry Values from VASP.

Properties
E = -4.568 eV/atom
DFT formation energy = 0.150 eV/atom
Symmetry = Cmc2_1 (36)
M_tot = 0.00 μB/f.u.
Density of states at the Fermi level = 28.61 states/eV per cell

Quantum ESPRESSO input file:
```
&SYSTEM
  ibrav = 0, nat = 18, ntyp = 4
/
ATOMIC_SPECIES
Pm 145.00 Pm.upf
La 138.91 La.upf
Ho 164.93 Ho.upf
Dy 162.50 Dy.upf
ATOMIC_POSITIONS crystal
Pm 0.983 0.966 0.523
La 0.416 0.832 0.452
Ho 0.200 0.400 0.011
Pm 0.017 0.034 0.023
Ho 0.800 0.600 0.511
Dy 0.115 0.231 0.319
Pm 0.385 0.770 0.023
La 0.584 0.168 0.952
Dy 0.113 0.227 0.733
Pm 0.520 0.039 0.240
Dy 0.887 0.773 0.233
Pm 0.281 0.561 0.314
Pm 0.297 0.593 0.707
Pm 0.480 0.961 0.740
Dy 0.885 0.769 0.819
Pm 0.719 0.439 0.814
Pm 0.615 0.230 0.523
Pm 0.703 0.407 0.207
CELL_PARAMETERS angstrom
-4.650 -1.341 -3.038
-1.253 -4.634 9.336
-4.918 8.731 3.674
```

Material: AsHIrOsAu
Method: DFT, GGA-PBE
State: optimized geometry Values from VASP.

Properties
E = -5.950 eV/atom
Symmetry = P1 (1)
M_tot = 0.00 μB/f.u.
Polymorph energy (0 for the lowest one) = 50 meV per atom
Density of states at the Fermi level = 2.80 states/eV per cell

Quantum ESPRESSO input file:
```
&SYSTEM
  ibrav = 0, nat = 5, ntyp = 5
/
ATOMIC_SPECIES
Ir 192.22 Ir.upf
H 1.01 H.upf
As 74.92 As.upf
Os 190.23 Os.upf
Au 196.97 Au.upf
ATOMIC_POSITIONS crystal
Ir 0.333 0.419 0.032
H 0.058 0.164 0.586
As 0.010 0.690 0.671
Os 0.615 0.365 0.468
Au 0.784 0.926 0.138
CELL_PARAMETERS angstrom
2.840 -0.002 0.002
0.028 4.992 -0.020
1.418 0.551 5.129
```